[1]
Here is a relaxed structure of SrAg2Bi2 from OQMD via LeMat-Bulk. Energies are from GGA-PBE.

Calculated values
SG: I4/mmm

Cell: 7.2118 7.2118 7.2118 Å, 141.22 141.22 56.00°
Closest atoms and distances in Å follow each position.
Fractional positions:
Sr 0.0000 0.0000 0.0000  8 Ag 3.64, 8 Bi 3.98
Ag 0.3953 0.3953 0.0000  1 Ag 2.67
Ag 0.6047 0.6047 0.0000  1 Ag 2.67
Bi 0.2500 0.7500 0.5000  4 Ag 3.03, 4 Bi 3.39
Bi 0.7500 0.2500 0.5000  4 Ag 3.03, 4 Bi 3.39


[2]
Here is a relaxed structure of Ta3AgBi5 from OQMD via LeMat-Bulk. Energies are from GGA-PBE.

Calculated values
SG: P6/mmm

Cell: 5.7959 5.7959 8.7829 Å, 90.00 90.00 120.00°
Closest atoms and distances in Å follow each position.
Fractional positions:
Ta 0.0000 0.5000 0.0000  4 Ta 2.90, 6 Bi 2.90-3.04
Ta 0.5000 0.0000 0.0000  4 Ta 2.90, 6 Bi 2.90-3.04
Ta 0.5000 0.5000 0.0000  4 Ta 2.90, 6 Bi 2.90-3.04
Ag 0.0000 0.0000 0.5000  12 Bi 3.82
Bi 0.0000 0.0000 0.0000  6 Ta 2.90
Bi 0.3333 0.6667 0.2895  3 Ta 3.04, 3 Bi 3.35
Bi 0.3333 0.6667 0.7105  3 Ta 3.04, 3 Bi 3.35
Bi 0.6667 0.3333 0.2895  3 Ta 3.04, 3 Bi 3.35
Bi 0.6667 0.3333 0.7105  3 Ta 3.04, 3 Bi 3.35


[3]
Here is a relaxed structure of TbYAg2Bi4 from OQMD via LeMat-Bulk. Energies are from GGA-PBE.

Calculated values
SG: P4mm

Cell: 4.5290 4.5290 10.3001 Å, 90.00 90.00 90.00°
Closest atoms and distances in Å follow each position.
Fractional positions:
Tb 0.0000 0.0000 0.0000  8 Bi 3.26-3.41, 4 Ag 3.44
Y 0.5000 0.5000 0.5038  8 Bi 3.27-3.41, 4 Ag 3.44
Ag 0.0000 0.5000 0.2518  4 Bi 2.99, 4 Ag 3.20
Ag 0.5000 0.0000 0.2518  4 Bi 2.99, 4 Ag 3.20
Bi 0.0000 0.0000 0.4418  4 Ag 2.99, 4 Y 3.27
Bi 0.0000 0.5000 0.7519  4 Bi 3.20, 2 Y 3.41, 2 Tb 3.41
Bi 0.5000 0.0000 0.7519  4 Bi 3.20, 2 Y 3.41, 2 Tb 3.41
Bi 0.5000 0.5000 0.0616  4 Ag 2.99, 4 Tb 3.26


[4]
Here is a relaxed structure of TcAgBi2 from OQMD via LeMat-Bulk. Energies are from GGA-PBE.

Calculated values
SG: F-43m

Cell: 5.0195 5.0195 5.0195 Å, 60.00 60.00 60.00°
Closest atoms and distances in Å follow each position.
Fractional positions:
Tc 0.0000 0.0000 0.0000  4 Bi 3.07, 4 Ag 3.07
Ag 0.2500 0.2500 0.2500  4 Bi 3.07, 4 Tc 3.07
Bi 0.5000 0.5000 0.5000  4 Bi 3.07, 4 Ag 3.07
Bi 0.7500 0.7500 0.7500  4 Tc 3.07, 4 Bi 3.07


[5]
Here is a relaxed structure of TcAgBi from OQMD via LeMat-Bulk. Energies are from GGA-PBE.

Calculated values
SG: F-43m

Cell: 4.5466 4.5466 4.5466 Å, 60.00 60.00 60.00°
Closest atoms and distances in Å follow each position.
Fractional positions:
Tc 0.0000 0.0000 0.0000  4 Ag 2.78, 4 Bi 2.78
Ag 0.7500 0.7500 0.7500  4 Tc 2.78
Bi 0.2500 0.2500 0.2500  4 Tc 2.78


[6]
Here is a relaxed structure of TcAg2Bi from OQMD via LeMat-Bulk. Energies are from GGA-PBE.

Calculated values
SG: F-43m

Cell: 4.7303 4.7303 4.7303 Å, 60.00 60.00 60.00°
Closest atoms and distances in Å follow each position.
Fractional positions:
Tc 0.0000 0.0000 0.0000  4 Bi 2.90, 4 Ag 2.90
Ag 0.2500 0.2500 0.2500  4 Tc 2.90, 4 Ag 2.90
Ag 0.5000 0.5000 0.5000  4 Ag 2.90, 4 Bi 2.90
Bi 0.7500 0.7500 0.7500  4 Ag 2.90, 4 Tc 2.90


[7]
Here is a relaxed structure of AgBiTe from OQMD via LeMat-Bulk. Energies are from GGA-PBE.

Calculated values
Offset from the most stable computed form (eV per formula unit): 0.68
SG: F-43m

Cell: 5.1548 5.1548 5.1548 Å, 60.00 60.00 60.00°
Closest atoms and distances in Å follow each position.
Fractional positions:
Ag 0.0000 0.0000 0.0000  4 Bi 3.16
Bi 0.2500 0.2500 0.2500  4 Te 3.16, 4 Ag 3.16
Te 0.5000 0.5000 0.5000  4 Bi 3.16


[8]
Here is a relaxed structure of AgBi2Te from OQMD via LeMat-Bulk. Energies are from GGA-PBE.

Calculated values
SG: F-43m

Cell: 5.4046 5.4046 5.4046 Å, 60.00 60.00 60.00°
Closest atoms and distances in Å follow each position.
Fractional positions:
Ag 0.0000 0.0000 0.0000  4 Te 3.31, 4 Bi 3.31
Bi 0.2500 0.2500 0.2500  4 Bi 3.31, 4 Ag 3.31
Bi 0.5000 0.5000 0.5000  4 Bi 3.31, 4 Te 3.31
Te 0.7500 0.7500 0.7500  4 Bi 3.31, 4 Ag 3.31


no.,volume (Å³/cell),calculated total energy (eV/atom)
1,146.0,-3.36
2,255.5,-6.29
3,211.3,-4.58
4,89.4,-4.50
5,66.5,-5.09
6,74.8,-4.46
7,96.9,-3.08
8,111.6,-3.33